Record 1
Crystalline CeAlTl at its relaxed geometry, computed with GGA-PBE.

a b c (Å): 4.896 4.896 7.372
angles (deg): 90.00 90.00 60.00
Atoms (fractional coordinates):
Ce (0.000, 0.500, 0.767)
Ce (0.000, 0.500, 0.233)
Al (0.667, 0.167, 0.996)
Al (0.333, 0.833, 0.004)
Tl (0.667, 0.167, 0.441)
Tl (0.333, 0.833, 0.559)

- Energy relative to the lowest polymorph listed for this composition: 0.006 eV per formula unit
- Crystal system: trigonal
- Density of states at the Fermi level: 12.2 states/eV per cell
- E_form: -213.3 meV per atom
- V: 153.0 Å³/cell

Record 2
Crystalline CeAlTl at its relaxed geometry, computed with GGA-PBE.

a b c (Å): 3.068 3.068 8.715
angles (deg): 100.14 100.14 90.00
Atoms (fractional coordinates):
Tl (0.781, 0.781, 0.563)
Al (0.945, 0.945, 0.891)
Ce (0.123, 0.123, 0.247)

- Energy relative to the lowest polymorph listed for this composition: 1.538 eV per formula unit
- Crystal system: tetragonal
- Density of states at the Fermi level: 5.5 states/eV per cell
- E_form: 297.5 meV per atom
- V: 79.5 Å³/cell

Record 3
Crystalline Ce6AlTl2 at its relaxed geometry, computed with GGA-PBE.

a b c (Å): 3.091 9.104 9.104
angles (deg): 120.00 90.00 90.00
Atoms (fractional coordinates):
Ce (0.500, 0.317, 0.317)
Ce (0.500, 0.683, 0.683)
Ce (0.500, 0.000, 0.683)
Ce (0.500, 0.683, 0.000)
Ce (0.500, 0.317, 0.000)
Ce (0.500, 0.000, 0.317)
Al (0.000, 0.000, 0.000)
Tl (0.000, 0.333, 0.667)
Tl (0.000, 0.667, 0.333)

- Energy relative to the lowest polymorph listed for this composition: 0.000 eV per formula unit
- Crystal system: hexagonal
- Density of states at the Fermi level: 23.1 states/eV per cell
- E_form: -140.8 meV per atom
- V: 221.9 Å³/cell